VASP calculation (GGA-PBE) on an optimized crystal structure of NaIn.

Summary:
Total DFT energy (no corrections) (eV per cell): -8.6
Spin magnetization (μB per formula unit): 0.00
Space-group type: P2_1/m (11)
Calculated volume (Å³ per cell): 111

Lattice parameters (Å, degrees): 3.458 5.110 6.479 90.00 104.23 90.00
Fractional positions:
1 Na 0.162 0.250 0.340
2 Na 0.838 0.750 0.660
3 In 0.439 0.250 0.873
4 In 0.561 0.750 0.127

VASP calculation (GGA-PBE) on an optimized crystal structure of Cd2P.

Summary:
Total DFT energy (no corrections) (eV per cell): -13.0
Spin magnetization (μB per formula unit): 0.00
Space-group type: I4/mcm (140)
Calculated volume (Å³ per cell): 128
Distance to the lowest polymorph of the same formula (meV per atom): 152.3

Lattice parameters (Å, degrees): 5.558 5.558 5.558 103.79 103.79 121.56
Fractional positions:
1 Cd 0.150 0.650 0.801
2 Cd 0.350 0.150 0.500
3 Cd 0.650 0.850 0.500
4 Cd 0.850 0.350 0.199
5 P 0.250 0.250 0.000
6 P 0.750 0.750 0.000

VASP calculation (GGA-PBE) on an optimized crystal structure of CdAsSBr2.

Summary:
Total DFT energy (no corrections) (eV per cell): -11.0
Spin magnetization (μB per formula unit): 0.30
Formation energy without anion corrections (eV/f.u.): 2.04
Space-group type: P4/mmm (123)
Calculated volume (Å³ per cell): 137
Distance to the lowest polymorph of the same formula (meV per atom): 0.0

Lattice parameters (Å, degrees): 5.286 5.286 4.912 90.00 90.00 90.00
Fractional positions:
1 Cd 0.000 0.000 0.000
2 As 0.500 0.500 0.000
3 S 0.500 0.500 0.500
4 Br 0.000 0.500 0.500
5 Br 0.500 0.000 0.500

VASP calculation (GGA-PBE) on an optimized crystal structure of BaNi2Br.

Summary:
Total DFT energy (no corrections) (eV per cell): -15.4
Spin magnetization (μB per formula unit): 1.01
Formation energy without anion corrections (eV/f.u.): -0.24
Space-group type: Imm2 (44)
Calculated volume (Å³ per cell): 101
Distance to the lowest polymorph of the same formula (meV per atom): 107.6

Lattice parameters (Å, degrees): 5.506 5.506 5.506 137.33 112.97 82.79
Fractional positions:
1 Ba 0.000 0.000 0.000
2 Ni 0.555 0.555 0.000
3 Ni 0.678 0.178 0.500
4 Br 0.328 0.828 0.500

VASP calculation (GGA-PBE) on an optimized crystal structure of LiAuN2F.

Summary:
Total DFT energy (no corrections) (eV per cell): -17.7
Spin magnetization (μB per formula unit): 0.00
Formation energy without anion corrections (eV/f.u.): 6.03
Space-group type: P4/mmm (123)
Calculated volume (Å³ per cell): 52
Distance to the lowest polymorph of the same formula (meV per atom): 433.5

Lattice parameters (Å, degrees): 3.856 3.856 3.479 90.00 90.00 90.00
Fractional positions:
1 Li 0.000 0.000 0.000
2 Au 0.500 0.500 0.500
3 N 0.000 0.500 0.000
4 N 0.500 0.000 0.000
5 F 0.000 0.000 0.500

VASP calculation (GGA-PBE) on an optimized crystal structure of TaMn2GaSi.

Summary:
Total DFT energy (no corrections) (eV per cell): -34.6
Spin magnetization (μB per formula unit): 0.03
Formation energy without anion corrections (eV/f.u.): 4.03
Space-group type: P4/mmm (123)
Calculated volume (Å³ per cell): 78

Lattice parameters (Å, degrees): 4.129 4.129 4.587 90.00 90.00 90.00
Fractional positions:
1 Ta 0.000 0.000 0.000
2 Mn 0.000 0.500 0.500
3 Mn 0.500 0.000 0.500
4 Ga 0.500 0.500 0.000
5 Si 0.000 0.000 0.500

VASP calculation (GGA-PBE) on an optimized crystal structure of YCd2Ni.

Summary:
Total DFT energy (no corrections) (eV per cell): -14.9
Spin magnetization (μB per formula unit): 0.00
Space-group type: Pm (6)
Calculated volume (Å³ per cell): 87

Lattice parameters (Å, degrees): 3.749 3.774 6.432 90.00 106.72 90.00
Fractional positions:
1 Y 0.000 0.000 0.000
2 Cd 0.276 0.000 0.557
3 Cd 0.659 0.500 0.318
4 Ni 0.434 0.500 0.867

VASP calculation (GGA-PBE) on an optimized crystal structure of PmGdRu4.

Summary:
Total DFT energy (no corrections) (eV per cell): -57.2
Spin magnetization (μB per formula unit): 6.54
Space-group type: F-43m (216)
Calculated volume (Å³ per cell): 110

Lattice parameters (Å, degrees): 5.382 5.382 5.382 60.00 60.00 60.00
Fractional positions:
1 Pm 0.000 0.000 0.000
2 Gd 0.750 0.750 0.750
3 Ru 0.375 0.375 0.375
4 Ru 0.375 0.375 0.875
5 Ru 0.375 0.875 0.375
6 Ru 0.875 0.375 0.375

no.,DOS at the Fermi energy (states/eV per atom)
1,0.41
2,0.40
3,0.94
4,0.86
5,1.06
6,1.33
7,0.22
8,1.04